! Tb3CdCo, relaxed, DFT PBE-GGA; values from VASP
! - Energy of formation from the pure elements: -0.101 eV/atom
! - Uncorrected energy: -22.42 eV for the cell shown
&SYSTEM
  ibrav = 0, nat = 5, ntyp = 3
/
ATOMIC_SPECIES
Tb 158.93 Tb.upf
Cd 112.41 Cd.upf
Co 58.93 Co.upf
CELL_PARAMETERS angstrom
5.1824 0.0000 0.0000
0.0000 5.1824 0.0000
0.0000 0.0000 5.1824
ATOMIC_POSITIONS angstrom
Tb 0.0000 0.0000 2.5912
Tb 0.0000 2.5912 0.0000
Tb 2.5912 0.0000 0.0000
Cd 2.5912 2.5912 2.5912
Co 0.0000 0.0000 0.0000